Computed, not measured: a crystal of ZnSn3Br relaxed with PBEsol at the SCAN level of DFT.

Calculated values
- Crystal system: cubic

a b c (Å): 5.217 5.217 5.217
angles (deg): 90.00 90.00 90.00
Space group Pm-3m (No. 221)
Asymmetric unit:
Zn  0.000  0.000  0.000 x1
Sn  0.000  0.000  0.500 x3
Br  0.500  0.500  0.500 x1


Computed, not measured: a crystal of ZrSn3Br relaxed with PBEsol at the SCAN level of DFT.

Calculated values
- Crystal system: cubic

a b c (Å): 5.290 5.290 5.290
angles (deg): 90.00 90.00 90.00
Space group Pm-3m (No. 221)
Asymmetric unit:
Zr  0.000  0.000  0.000 x1
Sn  0.000  0.500  0.500 x3
Br  0.500  0.500  0.500 x1


Computed, not measured: a crystal of Zr2Sn2Br relaxed with PBEsol at the SCAN level of DFT.

Calculated values
- Crystal system: tetragonal

a b c (Å): 5.300 5.300 9.722
angles (deg): 90.00 90.00 90.00
Space group I4/mmm (No. 139)
Asymmetric unit:
Zr  0.000  0.500  0.250 x4
Sn  0.000  0.000  0.142 x4
Br  0.000  0.000  0.500 x2


Which DFT total energy belongs to each record? In order, -27.818; -30.678; -30.615 eV/atom.